# 1
{"formula": "AcEuGdSn", "functional": "PBE", "state": "relaxed", "cell": [[8.034, 0.000, 0.000], [0.000, 8.034, 0.000], [0.000, 0.000, 8.034]], "species": ["Ac", "Ac", "Ac", "Ac", "Eu", "Eu", "Eu", "Eu", "Gd", "Gd", "Gd", "Gd", "Sn", "Sn", "Sn", "Sn"], "frac_coords": [[0.000, 0.000, 0.000], [0.000, 0.500, 0.500], [0.500, 0.000, 0.500], [0.500, 0.500, 0.000], [0.250, 0.250, 0.750], [0.250, 0.750, 0.250], [0.750, 0.250, 0.250], [0.750, 0.750, 0.750], [0.250, 0.250, 0.250], [0.250, 0.750, 0.750], [0.750, 0.250, 0.750], [0.750, 0.750, 0.250], [0.000, 0.000, 0.500], [0.000, 0.500, 0.000], [0.500, 0.000, 0.000], [0.500, 0.500, 0.500]], "delta_e_f_mev_per_atom": -193}



# 2
{"formula": "SrAcEuGd", "functional": "PBE", "state": "relaxed", "cell": [[8.804, 0.000, 0.000], [0.000, 8.804, 0.000], [0.000, 0.000, 8.804]], "species": ["Sr", "Sr", "Sr", "Sr", "Ac", "Ac", "Ac", "Ac", "Eu", "Eu", "Eu", "Eu", "Gd", "Gd", "Gd", "Gd"], "frac_coords": [[0.000, 0.000, 0.000], [0.000, 0.500, 0.500], [0.500, 0.000, 0.500], [0.500, 0.500, 0.000], [0.000, 0.000, 0.500], [0.000, 0.500, 0.000], [0.500, 0.000, 0.000], [0.500, 0.500, 0.500], [0.250, 0.250, 0.250], [0.250, 0.750, 0.750], [0.750, 0.250, 0.750], [0.750, 0.750, 0.250], [0.250, 0.250, 0.750], [0.250, 0.750, 0.250], [0.750, 0.250, 0.250], [0.750, 0.750, 0.750]], "delta_e_f_mev_per_atom": 139}



# 3
{"formula": "AcEuGdY", "functional": "PBE", "state": "relaxed", "cell": [[8.431, 0.000, 0.000], [0.000, 8.431, 0.000], [0.000, 0.000, 8.431]], "species": ["Ac", "Ac", "Ac", "Ac", "Eu", "Eu", "Eu", "Eu", "Gd", "Gd", "Gd", "Gd", "Y", "Y", "Y", "Y"], "frac_coords": [[0.000, 0.000, 0.000], [0.000, 0.500, 0.500], [0.500, 0.000, 0.500], [0.500, 0.500, 0.000], [0.250, 0.250, 0.750], [0.250, 0.750, 0.250], [0.750, 0.250, 0.250], [0.750, 0.750, 0.750], [0.250, 0.250, 0.250], [0.250, 0.750, 0.750], [0.750, 0.250, 0.750], [0.750, 0.750, 0.250], [0.000, 0.000, 0.500], [0.000, 0.500, 0.000], [0.500, 0.000, 0.000], [0.500, 0.500, 0.500]], "delta_e_f_mev_per_atom": 141}



# 4
{"formula": "AcEuGdZn", "functional": "PBE", "state": "relaxed", "cell": [[7.956, 0.000, 0.000], [0.000, 7.956, 0.000], [0.000, 0.000, 7.956]], "species": ["Ac", "Ac", "Ac", "Ac", "Eu", "Eu", "Eu", "Eu", "Gd", "Gd", "Gd", "Gd", "Zn", "Zn", "Zn", "Zn"], "frac_coords": [[0.000, 0.000, 0.000], [0.000, 0.500, 0.500], [0.500, 0.000, 0.500], [0.500, 0.500, 0.000], [0.250, 0.250, 0.750], [0.250, 0.750, 0.250], [0.750, 0.250, 0.250], [0.750, 0.750, 0.750], [0.250, 0.250, 0.250], [0.250, 0.750, 0.750], [0.750, 0.250, 0.750], [0.750, 0.750, 0.250], [0.000, 0.000, 0.500], [0.000, 0.500, 0.000], [0.500, 0.000, 0.000], [0.500, 0.500, 0.500]], "delta_e_f_mev_per_atom": 155}



# 5
{"formula": "AcEu2Ge", "functional": "PBE", "state": "relaxed", "cell": [[3.808, 0.000, 0.000], [0.000, 3.808, 0.000], [0.000, 0.000, 9.560]], "species": ["Ac", "Eu", "Eu", "Ge"], "frac_coords": [[0.000, 0.000, 0.000], [0.500, 0.500, 0.321], [0.500, 0.500, 0.679], [0.000, 0.000, 0.500]], "e_above_lowest_polymorph_ev_per_fu": 0.00, "delta_e_f_mev_per_atom": -268}



# 6
{"formula": "AcEu2Ge", "functional": "PBE", "state": "relaxed", "cell": [[3.920, 0.000, 0.000], [-1.960, 3.395, 0.000], [0.000, 0.000, 33.020]], "species": ["Ac", "Ac", "Ac", "Eu", "Eu", "Eu", "Eu", "Eu", "Eu", "Ge", "Ge", "Ge"], "frac_coords": [[0.000, 0.000, 0.000], [0.333, 0.667, 0.667], [0.667, 0.333, 0.333], [0.000, 0.000, 0.230], [0.000, 0.000, 0.770], [0.333, 0.667, 0.437], [0.333, 0.667, 0.897], [0.667, 0.333, 0.103], [0.667, 0.333, 0.563], [0.000, 0.000, 0.500], [0.333, 0.667, 0.167], [0.667, 0.333, 0.833]], "e_above_lowest_polymorph_ev_per_fu": 0.40, "delta_e_f_mev_per_atom": -168}



# 7
{"formula": "AcEu2Ge", "functional": "PBE", "state": "relaxed", "cell": [[7.941, 0.000, 0.000], [0.000, 7.941, 0.000], [0.000, 0.000, 7.941]], "species": ["Ac", "Ac", "Ac", "Ac", "Eu", "Eu", "Eu", "Eu", "Eu", "Eu", "Eu", "Eu", "Ge", "Ge", "Ge", "Ge"], "frac_coords": [[0.000, 0.000, 0.000], [0.000, 0.500, 0.500], [0.500, 0.000, 0.500], [0.500, 0.500, 0.000], [0.250, 0.250, 0.250], [0.250, 0.250, 0.750], [0.250, 0.750, 0.250], [0.250, 0.750, 0.750], [0.750, 0.250, 0.250], [0.750, 0.250, 0.750], [0.750, 0.750, 0.250], [0.750, 0.750, 0.750], [0.000, 0.000, 0.500], [0.000, 0.500, 0.000], [0.500, 0.000, 0.000], [0.500, 0.500, 0.500]], "e_above_lowest_polymorph_ev_per_fu": 0.96, "delta_e_f_mev_per_atom": -29}



# 8
{"formula": "AcEu2Ge", "functional": "PBE", "state": "relaxed", "cell": [[4.932, 0.000, 0.000], [0.000, 4.932, 0.000], [0.000, 0.000, 5.258]], "species": ["Ac", "Eu", "Eu", "Ge"], "frac_coords": [[0.000, 0.000, 0.000], [0.000, 0.500, 0.500], [0.500, 0.000, 0.500], [0.500, 0.500, 0.000]], "e_above_lowest_polymorph_ev_per_fu": 0.07, "delta_e_f_mev_per_atom": -251}



# 9
{"formula": "AcEuGe4", "functional": "PBE", "state": "relaxed", "cell": [[0.000, 4.144, 4.144], [4.144, 0.000, 4.144], [4.144, 4.144, 0.000]], "species": ["Ac", "Eu", "Ge", "Ge", "Ge", "Ge"], "frac_coords": [[0.000, 0.000, 0.000], [0.750, 0.750, 0.750], [0.377, 0.377, 0.377], [0.377, 0.377, 0.869], [0.377, 0.869, 0.377], [0.869, 0.377, 0.377]], "delta_e_f_mev_per_atom": -403}



# 10
{"formula": "AcEuGeH", "functional": "PBE", "state": "relaxed", "cell": [[7.384, 0.000, 0.000], [0.000, 7.384, 0.000], [0.000, 0.000, 7.384]], "species": ["Ac", "Ac", "Ac", "Ac", "Eu", "Eu", "Eu", "Eu", "Ge", "Ge", "Ge", "Ge", "H", "H", "H", "H"], "frac_coords": [[0.000, 0.000, 0.000], [0.000, 0.500, 0.500], [0.500, 0.000, 0.500], [0.500, 0.500, 0.000], [0.000, 0.000, 0.500], [0.000, 0.500, 0.000], [0.500, 0.000, 0.000], [0.500, 0.500, 0.500], [0.250, 0.250, 0.750], [0.250, 0.750, 0.250], [0.750, 0.250, 0.250], [0.750, 0.750, 0.750], [0.250, 0.250, 0.250], [0.250, 0.750, 0.750], [0.750, 0.250, 0.750], [0.750, 0.750, 0.250]], "energy_ev_per_atom": -6.00}



# 11
{"formula": "AcEuGeI", "functional": "PBE", "state": "relaxed", "cell": [[7.954, 0.000, 0.000], [0.000, 7.954, 0.000], [0.000, 0.000, 7.954]], "species": ["Ac", "Ac", "Ac", "Ac", "Eu", "Eu", "Eu", "Eu", "Ge", "Ge", "Ge", "Ge", "I", "I", "I", "I"], "frac_coords": [[0.000, 0.000, 0.000], [0.000, 0.500, 0.500], [0.500, 0.000, 0.500], [0.500, 0.500, 0.000], [0.000, 0.000, 0.500], [0.000, 0.500, 0.000], [0.500, 0.000, 0.000], [0.500, 0.500, 0.500], [0.250, 0.250, 0.250], [0.250, 0.750, 0.750], [0.750, 0.250, 0.750], [0.750, 0.750, 0.250], [0.250, 0.250, 0.750], [0.250, 0.750, 0.250], [0.750, 0.250, 0.250], [0.750, 0.750, 0.750]], "energy_ev_per_atom": -5.92}



# 12
{"formula": "AcEuMgGe", "functional": "PBE", "state": "relaxed", "cell": [[7.817, 0.000, 0.000], [0.000, 7.817, 0.000], [0.000, 0.000, 7.817]], "species": ["Ac", "Ac", "Ac", "Ac", "Eu", "Eu", "Eu", "Eu", "Mg", "Mg", "Mg", "Mg", "Ge", "Ge", "Ge", "Ge"], "frac_coords": [[0.000, 0.000, 0.000], [0.000, 0.500, 0.500], [0.500, 0.000, 0.500], [0.500, 0.500, 0.000], [0.000, 0.000, 0.500], [0.000, 0.500, 0.000], [0.500, 0.000, 0.000], [0.500, 0.500, 0.500], [0.250, 0.250, 0.250], [0.250, 0.750, 0.750], [0.750, 0.250, 0.750], [0.750, 0.750, 0.250], [0.250, 0.250, 0.750], [0.250, 0.750, 0.250], [0.750, 0.250, 0.250], [0.750, 0.750, 0.750]], "delta_e_f_mev_per_atom": -313}



# 13
{"formula": "AcEuNiGe", "functional": "PBE", "state": "relaxed", "cell": [[7.454, 0.000, 0.000], [0.000, 7.454, 0.000], [0.000, 0.000, 7.454]], "species": ["Ac", "Ac", "Ac", "Ac", "Eu", "Eu", "Eu", "Eu", "Ni", "Ni", "Ni", "Ni", "Ge", "Ge", "Ge", "Ge"], "frac_coords": [[0.000, 0.000, 0.000], [0.000, 0.500, 0.500], [0.500, 0.000, 0.500], [0.500, 0.500, 0.000], [0.000, 0.000, 0.500], [0.000, 0.500, 0.000], [0.500, 0.000, 0.000], [0.500, 0.500, 0.500], [0.250, 0.250, 0.750], [0.250, 0.750, 0.250], [0.750, 0.250, 0.250], [0.750, 0.750, 0.750], [0.250, 0.250, 0.250], [0.250, 0.750, 0.750], [0.750, 0.250, 0.750], [0.750, 0.750, 0.250]], "delta_e_f_mev_per_atom": -318}



# 14
{"formula": "AcEuGePd", "functional": "PBE", "state": "relaxed", "cell": [[7.555, 0.000, 0.000], [0.000, 7.555, 0.000], [0.000, 0.000, 7.555]], "species": ["Ac", "Ac", "Ac", "Ac", "Eu", "Eu", "Eu", "Eu", "Ge", "Ge", "Ge", "Ge", "Pd", "Pd", "Pd", "Pd"], "frac_coords": [[0.000, 0.000, 0.000], [0.000, 0.500, 0.500], [0.500, 0.000, 0.500], [0.500, 0.500, 0.000], [0.000, 0.000, 0.500], [0.000, 0.500, 0.000], [0.500, 0.000, 0.000], [0.500, 0.500, 0.500], [0.250, 0.250, 0.750], [0.250, 0.750, 0.250], [0.750, 0.250, 0.250], [0.750, 0.750, 0.750], [0.250, 0.250, 0.250], [0.250, 0.750, 0.750], [0.750, 0.250, 0.750], [0.750, 0.750, 0.250]], "delta_e_f_mev_per_atom": -639}



# 15
{"formula": "AcPmEuGe", "functional": "PBE", "state": "relaxed", "cell": [[7.887, 0.000, 0.000], [0.000, 7.887, 0.000], [0.000, 0.000, 7.887]], "species": ["Ac", "Ac", "Ac", "Ac", "Pm", "Pm", "Pm", "Pm", "Eu", "Eu", "Eu", "Eu", "Ge", "Ge", "Ge", "Ge"], "frac_coords": [[0.000, 0.000, 0.000], [0.000, 0.500, 0.500], [0.500, 0.000, 0.500], [0.500, 0.500, 0.000], [0.250, 0.250, 0.250], [0.250, 0.750, 0.750], [0.750, 0.250, 0.750], [0.750, 0.750, 0.250], [0.250, 0.250, 0.750], [0.250, 0.750, 0.250], [0.750, 0.250, 0.250], [0.750, 0.750, 0.750], [0.000, 0.000, 0.500], [0.000, 0.500, 0.000], [0.500, 0.000, 0.000], [0.500, 0.500, 0.500]], "delta_e_f_mev_per_atom": -3}



Density of states at the Fermi level (states/eV/atom)
1.4664 2.4926 2.2399 1.5131 0.8711 0.9059 0.9977 0.9541 0.7468 2.4624 2.6195 0.7701 2.6317 2.9087 1.4311